Sb2Os: single point on PBEsol structure, SCAN.

* VASP energy: -48.907 eV per atom
* raw formation energy: -0.32 eV/f.u.
* SG: Pnnm (58)
* calculated density: 11.31 g/cm³

abc: 5.9548 6.6815 3.2024
angles: 90.00 90.00 90.00
Last column: nearest neighbours and their distance in Å.
Fractional coordinates of all 6 atoms:
Sb (0.1814, 0.1426, 0.0000)  3 Os 2.62-2.66, 1 Sb 2.88
Sb (0.3186, 0.6426, 0.5000)  3 Os 2.62-2.66, 1 Sb 2.88
Sb (0.6814, 0.3574, 0.5000)  3 Os 2.62-2.66, 1 Sb 2.88
Sb (0.8186, 0.8574, 0.0000)  3 Os 2.62-2.66, 1 Sb 2.88
Os (0.0000, 0.5000, 0.0000)  6 Sb 2.62-2.66
Os (0.5000, 0.0000, 0.5000)  6 Sb 2.62-2.66